No. 1
Sb3O2F5 | meta-GGA SCAN | single point on PBEsol structure

Geometry as CIF:
```
data_Sb3O2F5
_symmetry_space_group_name_H-M 'P n m a'
_symmetry_Int_Tables_number 62
_cell_length_a 5.288
_cell_length_b 17.212
_cell_length_c 6.467
_cell_angle_alpha 90.00
_cell_angle_beta 90.00
_cell_angle_gamma 90.00
loop_
_symmetry_equiv_pos_as_xyz
'x,y,z'
'-x,-y,-z'
'-x+1/2,-y,z+1/2'
'x+1/2,y,-z+1/2'
'x+1/2,-y+1/2,-z+1/2'
'-x+1/2,y+1/2,z+1/2'
'-x,y+1/2,-z'
'x,-y+1/2,z'
loop_
_atom_site_label
_atom_site_type_symbol
_atom_site_fract_x
_atom_site_fract_y
_atom_site_fract_z
Sb1 Sb 0.135 0.104 0.032
Sb2 Sb 0.220 0.250 0.440
O1 O 0.056 0.674 0.762
F1 F 0.067 0.523 0.811
F2 F 0.119 0.250 0.920
F3 F 0.195 0.621 0.124
```

Properties
Uncorrected energy (eV per atom): -16.221
Formation energy from raw total energies (meV/atom): -2027

No. 2
Sb3O2F5 | meta-GGA SCAN | single point on PBEsol structure

Geometry as CIF:
```
data_Sb3O2F5
_symmetry_space_group_name_H-M 'P 1 2/c 1'
_symmetry_Int_Tables_number 13
_cell_length_a 13.157
_cell_length_b 5.832
_cell_length_c 9.037
_cell_angle_alpha 90.00
_cell_angle_beta 108.92
_cell_angle_gamma 90.00
loop_
_symmetry_equiv_pos_as_xyz
'x,y,z'
'-x,-y,-z'
'-x,y,-z+1/2'
'x,-y,z+1/2'
loop_
_atom_site_label
_atom_site_type_symbol
_atom_site_fract_x
_atom_site_fract_y
_atom_site_fract_z
Sb1 Sb 0.000 0.044 0.250
Sb2 Sb 0.207 0.445 0.114
Sb3 Sb 0.360 0.040 0.414
Sb4 Sb 0.500 0.392 0.250
O1 O 0.339 0.260 0.213
O2 O 0.493 0.171 0.073
F1 F 0.045 0.275 0.417
F2 F 0.150 0.134 0.225
F3 F 0.151 0.230 0.937
F4 F 0.294 0.447 0.479
F5 F 0.355 0.208 0.759
```

Properties
Uncorrected energy (eV per atom): -16.290
Formation energy from raw total energies (meV/atom): -2095